{"formula": "VB2S4", "functional": "PBE-GGA", "state": "relaxed", "lattice_angstrom": [[5.4688, -0.2122, 0.0000], [-2.8191, 4.6910, 0.0000], [-1.3248, -2.2394, 4.8148]], "species": ["V", "B", "B", "S", "S", "S", "S"], "frac_coords": [[0.5000, 0.5000, 0.0000], [0.2500, 0.7500, 0.5000], [0.7500, 0.2500, 0.5000], [0.3658, 0.1612, 0.5270], [0.8388, 0.3658, 0.2046], [0.1612, 0.6342, 0.7954], [0.6342, 0.8388, 0.4730]], "e_above_lowest_polymorph_mev_per_atom": 0, "dos_ef_per_ev_cell": 3.32, "formation_energy_uncorrected_ev_per_fu": -2.3, "magmom_total_mub_per_fu": 3.00}